# ZrBe2Zn

A geometry-optimized ZrBe2Zn structure (GGA-PBE, Alexandria via LeMat-Bulk).

Properties
total energy = -4.097 eV/atom
energy relative to the elements = 0.22 eV per atom
density = 4.76 g/cm3
M_tot = 0.0 μB/cell

Cell lengths 4.027, 4.027, 8.041 Å; angles 75.50, 75.50, 90.00 degrees
Atoms (fractional coordinates):
Be 0.375 0.125 0.250
Be 0.875 0.625 0.750
Be 0.375 0.625 0.750
Be 0.375 0.625 0.250
Zr 0.000 0.000 0.000
Zr 0.750 0.250 0.500
Zn 0.500 0.500 0.000
Zn 0.250 0.750 0.500

***

# Zr5BeZn4

A geometry-optimized Zr5BeZn4 structure (GGA-PBE, Alexandria via LeMat-Bulk).

Properties
total energy = -5.391 eV/atom
energy relative to the elements = -0.24 eV per atom
density = 6.66 g/cm3
M_tot = 0.0 μB/cell

Cell lengths 3.297, 3.297, 16.673 Å; angles 90.00, 90.00, 90.00 degrees
Atoms (fractional coordinates):
Zn 0.000 0.000 0.806
Zn 0.000 0.000 0.602
Zn 0.000 0.000 0.398
Zn 0.000 0.000 0.194
Zr 0.500 0.500 0.093
Zr 0.500 0.500 0.500
Zr 0.500 0.500 0.907
Zr 0.500 0.500 0.296
Zr 0.500 0.500 0.704
Be 0.000 0.000 0.000

***

# ZrBe2Zn

A geometry-optimized ZrBe2Zn structure (GGA-PBE, Alexandria via LeMat-Bulk).

Properties
total energy = -4.318 eV/atom
energy relative to the elements = 0.00 eV per atom
density = 5.41 g/cm3
M_tot = 0.0 μB/cell

Cell lengths 2.839, 2.839, 6.651 Å; angles 90.00, 90.00, 90.00 degrees
Atoms (fractional coordinates):
Be 0.500 0.500 0.215
Be 0.000 0.000 0.061
Zr 0.500 0.500 0.779
Zn 0.000 0.000 0.445

***

# ZrBe2Zn

A geometry-optimized ZrBe2Zn structure (GGA-PBE, Alexandria via LeMat-Bulk).

Properties
total energy = -4.426 eV/atom
energy relative to the elements = -0.11 eV per atom
density = 5.31 g/cm3
M_tot = 0.0 μB/cell

Cell lengths 3.794, 3.794, 4.899 Å; angles 67.28, 67.28, 59.85 degrees
Atoms (fractional coordinates):
Be 0.956 0.956 0.133
Be 0.544 0.544 0.367
Zr 0.750 0.750 0.750
Zn 0.250 0.250 0.250

***

# Zr4BeZn

A geometry-optimized Zr4BeZn structure (GGA-PBE, Alexandria via LeMat-Bulk).

Properties
ΔE to the lowest computed polymorph = 729 meV per atom
total energy = -5.927 eV/atom
energy relative to the elements = 0.60 eV per atom
density = 5.72 g/cm3
M_tot = 0.0 μB/cell

Cell lengths 5.650, 5.650, 5.650 Å; angles 60.00, 60.00, 60.00 degrees
Atoms (fractional coordinates):
Zr 0.874 0.375 0.375
Zr 0.375 0.375 0.375
Zr 0.375 0.375 0.874
Zr 0.375 0.874 0.375
Zn 0.000 0.000 0.000
Be 0.750 0.750 0.750

***

# ZrBe3Zn

A geometry-optimized ZrBe3Zn structure (GGA-PBE, Alexandria via LeMat-Bulk).

Properties
ΔE to the lowest computed polymorph = 0 meV per atom
total energy = -3.849 eV/atom
energy relative to the elements = 0.35 eV per atom
density = 4.54 g/cm3
M_tot = 0.0 μB/cell

Cell lengths 4.066, 4.066, 4.066 Å; angles 90.00, 90.00, 90.00 degrees
Atoms (fractional coordinates):
Be 0.000 0.500 0.000
Be 0.500 0.000 0.000
Be 0.000 0.000 0.500
Zn 0.000 0.000 0.000
Zr 0.500 0.500 0.500

***

# ZrBe2Zn

A geometry-optimized ZrBe2Zn structure (GGA-PBE, Alexandria via LeMat-Bulk).

Properties
total energy = -3.941 eV/atom
energy relative to the elements = 0.38 eV per atom
density = 5.04 g/cm3
M_tot = 0.0 μB/cell

Cell lengths 8.762, 8.762, 8.762 Å; angles 18.24, 18.24, 18.24 degrees
Atoms (fractional coordinates):
Be 0.256 0.256 0.256
Be 0.986 0.986 0.986
Zn 0.513 0.513 0.513
Zr 0.745 0.745 0.745

***

# ZrBe2Zn

A geometry-optimized ZrBe2Zn structure (GGA-PBE, Alexandria via LeMat-Bulk).

Properties
total energy = -4.226 eV/atom
energy relative to the elements = 0.09 eV per atom
density = 5.29 g/cm3
M_tot = 0.0 μB/cell

Cell lengths 3.724, 2.617, 5.783 Å; angles 76.67, 90.00, 90.00 degrees
Atoms (fractional coordinates):
Zr 0.500 0.750 0.750
Be 0.000 0.038 0.052
Be 0.000 0.462 0.448
Zn 0.500 0.250 0.250

***

# ZrBe3Zn

A geometry-optimized ZrBe3Zn structure (GGA-PBE, Alexandria via LeMat-Bulk).

Properties
ΔE to the lowest computed polymorph = 1423 meV per atom
total energy = -2.427 eV/atom
energy relative to the elements = 1.77 eV per atom
density = 2.95 g/cm3
M_tot = 0.0 μB/cell

Cell lengths 4.695, 4.695, 4.695 Å; angles 90.00, 90.00, 90.00 degrees
Atoms (fractional coordinates):
Be 0.000 0.000 0.500
Be 0.000 0.500 0.000
Be 0.500 0.000 0.000
Zr 0.000 0.000 0.000
Zn 0.500 0.500 0.500

***

# Zr2Be

A geometry-optimized Zr2Be structure (GGA-PBE, Alexandria via LeMat-Bulk).

Properties
total energy = -6.690 eV/atom
energy relative to the elements = 0.25 eV per atom
density = 5.39 g/cm3
M_tot = 0.0 μB/cell

Cell lengths 3.148, 5.733, 6.533 Å; angles 90.00, 90.00, 90.00 degrees
Atoms (fractional coordinates):
Be 0.500 0.500 0.500
Be 0.000 0.000 0.000
Zr 0.000 0.631 0.213
Zr 0.500 0.869 0.713
Zr 0.500 0.131 0.287
Zr 0.000 0.369 0.787

***

# ZrBe2

A geometry-optimized ZrBe2 structure (GGA-PBE, Alexandria via LeMat-Bulk).

Properties
total energy = -5.001 eV/atom
energy relative to the elements = 0.33 eV per atom
density = 4.26 g/cm3
M_tot = 0.0 μB/cell

Cell lengths 3.064, 3.064, 4.531 Å; angles 90.00, 90.00, 90.00 degrees
Atoms (fractional coordinates):
Zr 0.000 0.000 0.000
Be 0.000 0.500 0.500
Be 0.500 0.000 0.500

***

# ZrBe2

A geometry-optimized ZrBe2 structure (GGA-PBE, Alexandria via LeMat-Bulk).

Properties
total energy = -5.362 eV/atom
energy relative to the elements = -0.03 eV per atom
density = 4.50 g/cm3
M_tot = 0.0 μB/cell

Cell lengths 4.223, 4.223, 5.223 Å; angles 90.00, 90.00, 120.00 degrees
Atoms (fractional coordinates):
Be 0.000 0.000 0.000
Be 0.333 0.667 0.250
Be 0.667 0.333 0.750
Be 0.000 0.000 0.500
Zr 0.333 0.667 0.750
Zr 0.667 0.333 0.250

***

> What is the formula in the eleventh record?

ZrBe2

***

> Among the records above, which one has the lowest total energy?

Zr2Be

***

> The highest total energy belongs to which entry?

number 9